The following is a DFT calculation (GGA-PBE) of a relaxed NdGdGa2I2 crystal.

Computed properties:
* space-group type: P3m1, No. 156
* E: -25.0 eV per formula unit
* total moment: 0.00 μB per formula unit
* volume: 32.49 Å³/atom

Geometry as POSCAR:
```
NdGdGa2I2
1.0
-1.779 3.167 2.236
-2.449 -3.063 -1.679
1.203 -6.644 10.366
I Gd Ga Nd
2 1 2 1
Direct
0.333 0.667 0.165 I
0.667 0.333 0.828 I
0.000 0.000 0.667 Gd
0.667 0.333 0.477 Ga
0.333 0.667 0.529 Ga
0.000 0.000 0.333 Nd
```